# 1
Entry from Alexandria via LeMat-Bulk: a relaxed SO2F crystal (PBE).

Results
- Distance to the lowest polymorph of the same formula: 981 meV/atom
- Energy relative to the elements, uncorrected: -21 meV/atom
- V: 234.08 Å³ per cell
- Final energy: -4.00 eV per atom

Structure (CIF):
```
data_SO2F
_chemical_formula_sum 'S4 O8 F4'
_symmetry_space_group_name_H-M 'I 41/a m d'
_symmetry_Int_Tables_number 141
_cell_length_a 5.481
_cell_length_b 5.481
_cell_length_c 7.793
_cell_angle_alpha 90.00
_cell_angle_beta 90.00
_cell_angle_gamma 90.00
loop_
_symmetry_equiv_pos_as_xyz
'x,y,z'
'-x,-y,-z'
'-y+1/4,x+3/4,z+1/4'
'y+1/4,-x+3/4,-z+1/4'
'-x+1/2,-y,z+1/2'
'x+1/2,y,-z+1/2'
'y+1/4,-x+1/4,z+3/4'
'-y+1/4,x+1/4,-z+3/4'
'x,-y,-z'
'-x,y,z'
'-y+1/4,-x+1/4,-z+3/4'
'y+1/4,x+1/4,z+3/4'
'-x+1/2,y,-z+1/2'
'x+1/2,-y,z+1/2'
'y+1/4,x+3/4,-z+1/4'
'-y+1/4,-x+3/4,z+1/4'
'x+1/2,y+1/2,z+1/2'
'-x+1/2,-y+1/2,-z+1/2'
'-y+3/4,x+1/4,z+3/4'
'y+3/4,-x+1/4,-z+3/4'
'-x,-y+1/2,z'
'x,y+1/2,-z'
'y+3/4,-x+3/4,z+1/4'
'-y+3/4,x+3/4,-z+1/4'
'x+1/2,-y+1/2,-z+1/2'
'-x+1/2,y+1/2,z+1/2'
'-y+3/4,-x+3/4,-z+1/4'
'y+3/4,x+3/4,z+1/4'
'-x,y+1/2,-z'
'x,-y+1/2,z'
'y+3/4,x+1/4,-z+3/4'
'-y+3/4,-x+1/4,z+3/4'
loop_
_atom_site_label
_atom_site_type_symbol
_atom_site_fract_x
_atom_site_fract_y
_atom_site_fract_z
S1 S 0.000 0.250 0.375
O1 O 0.000 0.000 0.500
F1 F 0.000 0.250 0.875
```


# 2
Entry from Alexandria via LeMat-Bulk: a relaxed SO2F crystal (PBE).

Results
- Distance to the lowest polymorph of the same formula: 0 meV/atom
- Energy relative to the elements, uncorrected: -1002 meV/atom
- V: 135.33 Å³ per cell
- Final energy: -4.98 eV per atom

Structure (CIF):
```
data_SO2F
_chemical_formula_sum 'S2 O4 F2'
_symmetry_space_group_name_H-M 'I m m 2'
_symmetry_Int_Tables_number 44
_cell_length_a 3.625
_cell_length_b 9.002
_cell_length_c 4.147
_cell_angle_alpha 90.00
_cell_angle_beta 90.00
_cell_angle_gamma 90.00
loop_
_symmetry_equiv_pos_as_xyz
'x,y,z'
'-x,-y,z'
'-x,y,z'
'x,-y,z'
'x+1/2,y+1/2,z+1/2'
'-x+1/2,-y+1/2,z+1/2'
'-x+1/2,y+1/2,z+1/2'
'x+1/2,-y+1/2,z+1/2'
loop_
_atom_site_label
_atom_site_type_symbol
_atom_site_fract_x
_atom_site_fract_y
_atom_site_fract_z
S1 S 0.000 0.000 0.000
O1 O 0.000 0.140 0.166
F1 F 0.000 0.500 0.291
```


# 3
Entry from Alexandria via LeMat-Bulk: a relaxed SOF crystal (PBE).

Results
- Energy relative to the elements, uncorrected: -943 meV/atom
- V: 204.85 Å³ per cell
- Final energy: -4.60 eV per atom

Structure (CIF):
```
data_SOF
_chemical_formula_sum 'S4 O4 F4'
_symmetry_space_group_name_H-M 'C 1 2/m 1'
_symmetry_Int_Tables_number 12
_cell_length_a 11.052
_cell_length_b 3.942
_cell_length_c 4.758
_cell_angle_alpha 90.00
_cell_angle_beta 98.83
_cell_angle_gamma 90.00
loop_
_symmetry_equiv_pos_as_xyz
'x,y,z'
'-x,-y,-z'
'-x,y,-z'
'x,-y,z'
'x+1/2,y+1/2,z'
'-x+1/2,-y+1/2,-z'
'-x+1/2,y+1/2,-z'
'x+1/2,-y+1/2,z'
loop_
_atom_site_label
_atom_site_type_symbol
_atom_site_fract_x
_atom_site_fract_y
_atom_site_fract_z
S1 S 0.114 0.000 0.214
O1 O 0.107 0.000 0.904
F1 F 0.117 0.500 0.296
```


# 4
Entry from Alexandria via LeMat-Bulk: a relaxed S4OF crystal (PBE).

Results
- Energy relative to the elements, uncorrected: -367 meV/atom
- V: 327.98 Å³ per cell
- Final energy: -4.26 eV per atom

Structure (CIF):
```
data_S4OF
_chemical_formula_sum 'S8 O2 F2'
_symmetry_space_group_name_H-M 'P -1'
_symmetry_Int_Tables_number 2
_cell_length_a 5.602
_cell_length_b 6.349
_cell_length_c 9.419
_cell_angle_alpha 83.91
_cell_angle_beta 80.03
_cell_angle_gamma 87.39
loop_
_symmetry_equiv_pos_as_xyz
'x,y,z'
'-x,-y,-z'
loop_
_atom_site_label
_atom_site_type_symbol
_atom_site_fract_x
_atom_site_fract_y
_atom_site_fract_z
S1 S 0.045 0.265 0.483
S2 S 0.160 0.530 0.362
S3 S 0.270 0.617 0.910
S4 S 0.278 0.903 0.827
O1 O 0.270 0.072 0.924
F1 F 0.221 0.103 0.344
```


# 5
Entry from Alexandria via LeMat-Bulk: a relaxed SbSO2F crystal (PBE).

Results
- Energy relative to the elements, uncorrected: -462 meV/atom
- V: 72.05 Å³ per cell
- Final energy: -4.47 eV per atom

Structure (CIF):
```
data_SbSO2F
_chemical_formula_sum 'Sb1 S1 O2 F1'
_symmetry_space_group_name_H-M 'P 4/m m m'
_symmetry_Int_Tables_number 123
_symmetry_space_group_name_Hall '-P 4 2'
_cell_length_a 4.054
_cell_length_b 4.054
_cell_length_c 4.385
_cell_angle_alpha 90.00
_cell_angle_beta 90.00
_cell_angle_gamma 90.00
loop_
_atom_site_label
_atom_site_type_symbol
_atom_site_fract_x
_atom_site_fract_y
_atom_site_fract_z
Sb1 Sb 0.000 0.000 0.000
S1 S 0.500 0.500 0.500
O1 O 0.000 0.500 0.000
F1 F 0.000 0.000 0.500
```


# 6
Entry from Alexandria via LeMat-Bulk: a relaxed SbSOF2 crystal (PBE).

Results
- Distance to the lowest polymorph of the same formula: 0 meV/atom
- Energy relative to the elements, uncorrected: -790 meV/atom
- V: 81.71 Å³ per cell
- Final energy: -4.18 eV per atom

Structure (CIF):
```
data_SbSOF2
_chemical_formula_sum 'Sb1 S1 O1 F2'
_symmetry_space_group_name_H-M 'P 4/m m m'
_symmetry_Int_Tables_number 123
_symmetry_space_group_name_Hall '-P 4 2'
_cell_length_a 4.450
_cell_length_b 4.450
_cell_length_c 4.127
_cell_angle_alpha 90.00
_cell_angle_beta 90.00
_cell_angle_gamma 90.00
loop_
_atom_site_label
_atom_site_type_symbol
_atom_site_fract_x
_atom_site_fract_y
_atom_site_fract_z
Sb1 Sb 0.000 0.000 0.000
S1 S 0.500 0.500 0.500
O1 O 0.000 0.000 0.500
F1 F 0.000 0.500 0.000
```


# 7
Entry from Alexandria via LeMat-Bulk: a relaxed SbSOF2 crystal (PBE).

Results
- Distance to the lowest polymorph of the same formula: 418 meV/atom
- Energy relative to the elements, uncorrected: -372 meV/atom
- V: 80.31 Å³ per cell
- Final energy: -3.76 eV per atom

Structure (CIF):
```
data_SbSOF2
_chemical_formula_sum 'Sb1 S1 O1 F2'
_symmetry_space_group_name_H-M 'P 4/m m m'
_symmetry_Int_Tables_number 123
_symmetry_space_group_name_Hall '-P 4 2'
_cell_length_a 4.914
_cell_length_b 4.914
_cell_length_c 3.326
_cell_angle_alpha 90.00
_cell_angle_beta 90.00
_cell_angle_gamma 90.00
loop_
_atom_site_label
_atom_site_type_symbol
_atom_site_fract_x
_atom_site_fract_y
_atom_site_fract_z
Sb1 Sb 0.000 0.000 0.000
S1 S 0.500 0.500 0.500
O1 O 0.500 0.500 0.000
F1 F 0.000 0.500 0.500
```


# 8
Entry from Alexandria via LeMat-Bulk: a relaxed SbSO2F crystal (PBE).

Results
- Energy relative to the elements, uncorrected: -146 meV/atom
- V: 70.35 Å³ per cell
- Final energy: -4.15 eV per atom

Structure (CIF):
```
data_SbSO2F
_chemical_formula_sum 'Sb1 S1 O2 F1'
_symmetry_space_group_name_H-M 'P 4/m m m'
_symmetry_Int_Tables_number 123
_symmetry_space_group_name_Hall '-P 4 2'
_cell_length_a 3.662
_cell_length_b 3.662
_cell_length_c 5.247
_cell_angle_alpha 90.00
_cell_angle_beta 90.00
_cell_angle_gamma 90.00
loop_
_atom_site_label
_atom_site_type_symbol
_atom_site_fract_x
_atom_site_fract_y
_atom_site_fract_z
Sb1 Sb 0.000 0.000 0.000
S1 S 0.500 0.500 0.500
O1 O 0.000 0.500 0.500
F1 F 0.500 0.500 0.000
```